1.
Material: Mo2IN
Method: DFT, GGA-PBE
State: relaxed

Cell and atoms, written as extended XYZ:
```
16
Lattice="4.9220 0.0000 0.0000 0.0000 4.9220 0.0000 0.0000 0.0000 12.2885" Properties=species:S:1:pos:R:3 pbc="T T T"
Mo 0.5755 1.2305 1.5361
Mo 1.2305 3.0365 4.6082
Mo 1.2305 4.3464 10.7525
Mo 1.8854 1.2305 7.6803
Mo 3.0365 3.6915 7.6803
Mo 3.6915 0.5755 10.7525
Mo 3.6915 1.8854 4.6082
Mo 4.3464 3.6915 1.5361
I 0.0000 0.0000 6.1443
I 0.0000 2.4610 9.2164
I 2.4610 0.0000 3.0721
I 2.4610 2.4610 0.0000
N 0.0000 0.0000 0.0000
N 0.0000 2.4610 3.0721
N 2.4610 0.0000 9.2164
N 2.4610 2.4610 6.1443
```

Calculated values
- raw formation energy (kJ/mol of atoms) = 50.1
- polymorph energy (0 for the lowest one) (meV per atom) = 0.0
- calculated volume (Å³/atom) = 18.6

---

2.
Material: BaSeBr3
Method: DFT, GGA-PBE
State: relaxed

Cell and atoms, written as extended XYZ:
```
5
Lattice="6.3310 0.0000 0.0000 0.0000 6.3310 0.0000 0.0000 0.0000 6.3310" Properties=species:S:1:pos:R:3 pbc="T T T"
Ba 0.0000 0.0000 0.0000
Se 3.1655 3.1655 3.1655
Br 0.0000 0.0000 3.1655
Br 0.0000 3.1655 0.0000
Br 3.1655 0.0000 0.0000
```

Calculated values
- raw formation energy (kJ/mol of atoms) = -64.6
- polymorph energy (0 for the lowest one) (meV per atom) = 189.1
- calculated volume (Å³/atom) = 50.8

---

Question: Which of these has the highest raw formation energy?
Answer: Mo2IN

---

Question: The highest calculated volume belongs to which entry?
Answer: BaSeBr3

---

Question: Which formula does entry 2 have?
Answer: BaSeBr3